# Sr2AgAs2 | Alexandria via LeMat-Bulk | PBE | relaxed
# - distance to the lowest polymorph of the same formula (eV/atom) = 0.275
# - total DFT energy (no corrections) (eV/atom) = -3.6550
# - ΔH_f (0 K) (eV per atom) = -0.552
data_Sr2AgAs2
_space_group_name_H-M_alt 'I 4/m m m'
_space_group_IT_number 139
_space_group_name_Hall '-I 4 2'
_cell_length_a 6.146
_cell_length_b 6.146
_cell_length_c 8.169
_cell_angle_alpha 90.00
_cell_angle_beta 90.00
_cell_angle_gamma 90.00
loop_
_atom_site_label
_atom_site_fract_x
_atom_site_fract_y
_atom_site_fract_z
Sr1 0.000 0.500 0.250
Ag1 0.000 0.000 0.000
As1 0.000 0.000 0.325